[1]
A relaxed structure of Tm7Ni2Sn2, computed with PBE.

Output
ΔH_f (0 K): -321 meV per atom
E: -0.364 Ry/atom

Cell lengths 6.697, 6.697, 6.886 Å; angles 90.00, 90.00, 107.65 degrees
Fractional coordinates of all 11 atoms:
Tm: 0.000 0.000 0.000
Tm: 0.000 0.500 0.243
Tm: 0.000 0.500 0.757
Tm: 0.500 0.000 0.243
Tm: 0.500 0.000 0.757
Tm: 0.500 0.500 0.231
Tm: 0.500 0.500 0.769
Ni: 0.290 0.710 0.000
Ni: 0.710 0.290 0.000
Sn: 0.183 0.183 0.500
Sn: 0.817 0.817 0.500



[2]
A relaxed structure of Tm5NiSn4, computed with PBE.

Output
ΔH_f (0 K): -380 meV per atom
E: -0.352 Ry/atom

Cell lengths 7.383, 7.383, 7.383 Å; angles 98.64, 98.64, 134.39 degrees
Fractional coordinates of all 10 atoms:
Tm: 0.000 0.000 0.000
Tm: 0.273 0.637 0.910
Tm: 0.363 0.273 0.636
Tm: 0.637 0.727 0.364
Tm: 0.727 0.363 0.090
Ni: 0.500 0.500 0.000
Sn: 0.044 0.343 0.386
Sn: 0.343 0.956 0.299
Sn: 0.657 0.044 0.701
Sn: 0.956 0.657 0.614



[3]
A relaxed structure of Tm2Ni9Sn, computed with PBE.

Output
ΔH_f (0 K): -281 meV per atom
E: -0.419 Ry/atom

Cell lengths 8.567, 8.567, 8.567 Å; angles 33.14, 33.14, 33.14 degrees
Fractional coordinates of all 12 atoms:
Tm: 0.137 0.137 0.137
Tm: 0.863 0.863 0.863
Ni: 0.082 0.585 0.585
Ni: 0.333 0.333 0.333
Ni: 0.415 0.415 0.918
Ni: 0.415 0.918 0.415
Ni: 0.500 0.500 0.500
Ni: 0.585 0.082 0.585
Ni: 0.585 0.585 0.082
Ni: 0.667 0.667 0.667
Ni: 0.918 0.415 0.415
Sn: 0.000 0.000 0.000



[4]
A relaxed structure of YTmNiSn, computed with PBE.

Output
ΔH_f (0 K): -456 meV per atom
E: -0.414 Ry/atom

Cell lengths 5.063, 5.063, 5.063 Å; angles 60.00, 60.00, 60.00 degrees
Fractional coordinates of all 4 atoms:
Y: 0.000 0.000 0.000
Tm: 0.500 0.500 0.500
Ni: 0.250 0.250 0.250
Sn: 0.750 0.750 0.750



[5]
A relaxed structure of UNi12Sn3, computed with PBE.

Output
ΔH_f (0 K): -194 meV per atom
E: -0.440 Ry/atom

Cell lengths 3.775, 3.775, 14.884 Å; angles 90.00, 90.00, 90.00 degrees
Fractional coordinates of all 16 atoms:
U: 0.000 0.000 0.000
Ni: 0.000 0.500 0.124
Ni: 0.000 0.500 0.376
Ni: 0.000 0.500 0.624
Ni: 0.000 0.500 0.876
Ni: 0.500 0.000 0.124
Ni: 0.500 0.000 0.376
Ni: 0.500 0.000 0.624
Ni: 0.500 0.000 0.876
Ni: 0.500 0.500 0.000
Ni: 0.500 0.500 0.250
Ni: 0.500 0.500 0.500
Ni: 0.500 0.500 0.750
Sn: 0.000 0.000 0.255
Sn: 0.000 0.000 0.500
Sn: 0.000 0.000 0.745



[6]
A relaxed structure of UNiSn, computed with PBE.

Output
ΔH_f (0 K): -40 meV per atom
E: -0.519 Ry/atom

Cell lengths 6.346, 6.346, 6.346 Å; angles 151.63, 151.63, 40.56 degrees
Fractional coordinates of all 3 atoms:
U: 0.000 0.000 0.000
Ni: 0.654 0.654 0.000
Sn: 0.290 0.290 0.000



[7]
A relaxed structure of UNi2Sn, computed with PBE.

Output
ΔH_f (0 K): -87 meV per atom
E: -0.500 Ry/atom

Cell lengths 3.070, 3.070, 7.010 Å; angles 90.00, 90.00, 90.00 degrees
Fractional coordinates of all 4 atoms:
U: 0.000 0.000 0.000
Ni: 0.500 0.500 0.252
Ni: 0.500 0.500 0.748
Sn: 0.000 0.000 0.500



[8]
A relaxed structure of UNiSn, computed with PBE.

Output
ΔH_f (0 K): -175 meV per atom
E: -0.529 Ry/atom

Cell lengths 4.521, 4.521, 4.521 Å; angles 60.00, 60.00, 60.00 degrees
Fractional coordinates of all 3 atoms:
U: 0.000 0.000 0.000
Ni: 0.250 0.250 0.250
Sn: 0.500 0.500 0.500



[9]
A relaxed structure of UNi2Sn, computed with PBE.

Output
ΔH_f (0 K): -218 meV per atom
E: -0.509 Ry/atom

Cell lengths 4.591, 4.591, 4.591 Å; angles 60.00, 60.00, 60.00 degrees
Fractional coordinates of all 4 atoms:
U: 0.000 0.000 0.000
Ni: 0.250 0.250 0.250
Ni: 0.750 0.750 0.750
Sn: 0.500 0.500 0.500



[10]
A relaxed structure of UNi9Sn2, computed with PBE.

Output
ΔH_f (0 K): -180 meV per atom
E: -0.450 Ry/atom

Cell lengths 8.391, 8.391, 8.391 Å; angles 33.85, 33.85, 33.85 degrees
Fractional coordinates of all 12 atoms:
U: 0.000 0.000 0.000
Ni: 0.082 0.585 0.585
Ni: 0.334 0.334 0.334
Ni: 0.415 0.415 0.918
Ni: 0.415 0.918 0.415
Ni: 0.500 0.500 0.500
Ni: 0.585 0.082 0.585
Ni: 0.585 0.585 0.082
Ni: 0.666 0.666 0.666
Ni: 0.918 0.415 0.415
Sn: 0.138 0.138 0.138
Sn: 0.862 0.862 0.862



[11]
A relaxed structure of UNiSn, computed with PBE.

Output
ΔH_f (0 K): 750 meV per atom
E: -0.461 Ry/atom

Cell lengths 4.767, 4.767, 4.767 Å; angles 60.00, 60.00, 60.00 degrees
Fractional coordinates of all 3 atoms:
U: 0.000 0.000 0.000
Ni: 0.250 0.250 0.250
Sn: 0.750 0.750 0.750



[12]
A relaxed structure of U3Ni3Sn4, computed with PBE.

Output
ΔH_f (0 K): -207 meV per atom
E: -0.509 Ry/atom

Cell lengths 8.100, 8.100, 8.100 Å; angles 109.47, 109.47, 109.47 degrees
Fractional coordinates of all 20 atoms:
U: 0.125 0.750 0.875
U: 0.250 0.625 0.375
U: 0.375 0.250 0.625
U: 0.625 0.375 0.250
U: 0.750 0.875 0.125
U: 0.875 0.125 0.750
Ni: 0.125 0.875 0.250
Ni: 0.250 0.125 0.875
Ni: 0.375 0.625 0.750
Ni: 0.625 0.750 0.375
Ni: 0.750 0.375 0.625
Ni: 0.875 0.250 0.125
Sn: 0.000 0.332 0.500
Sn: 0.000 0.832 0.500
Sn: 0.168 0.168 0.168
Sn: 0.332 0.500 0.000
Sn: 0.500 0.000 0.332
Sn: 0.500 0.000 0.832
Sn: 0.668 0.668 0.668
Sn: 0.832 0.500 0.000



[13]
A relaxed structure of U2Ni9Sn, computed with PBE.

Output
ΔH_f (0 K): -179 meV per atom
E: -0.495 Ry/atom

Cell lengths 8.654, 8.654, 8.654 Å; angles 32.35, 32.35, 32.35 degrees
Fractional coordinates of all 12 atoms:
U: 0.139 0.139 0.139
U: 0.861 0.861 0.861
Ni: 0.083 0.585 0.585
Ni: 0.333 0.333 0.333
Ni: 0.415 0.415 0.917
Ni: 0.415 0.917 0.415
Ni: 0.500 0.500 0.500
Ni: 0.585 0.083 0.585
Ni: 0.585 0.585 0.083
Ni: 0.667 0.667 0.667
Ni: 0.917 0.415 0.415
Sn: 0.000 0.000 0.000



[14]
A relaxed structure of U2Ni15Sn2, computed with PBE.

Output
ΔH_f (0 K): -69 meV per atom
E: -0.459 Ry/atom

Cell lengths 6.415, 6.415, 6.415 Å; angles 80.95, 80.95, 80.95 degrees
Fractional coordinates of all 19 atoms:
U: 0.101 0.101 0.101
U: 0.899 0.899 0.899
Ni: 0.000 0.000 0.500
Ni: 0.000 0.327 0.673
Ni: 0.000 0.500 0.000
Ni: 0.000 0.673 0.327
Ni: 0.170 0.661 0.661
Ni: 0.327 0.000 0.673
Ni: 0.327 0.673 0.000
Ni: 0.339 0.339 0.830
Ni: 0.339 0.830 0.339
Ni: 0.500 0.000 0.000
Ni: 0.661 0.170 0.661
Ni: 0.661 0.661 0.170
Ni: 0.673 0.000 0.327
Ni: 0.673 0.327 0.000
Ni: 0.830 0.339 0.339
Sn: 0.368 0.368 0.368
Sn: 0.632 0.632 0.632



[15]
A relaxed structure of UNiSn, computed with PBE.

Output
ΔH_f (0 K): -223 meV per atom
E: -0.533 Ry/atom

Cell lengths 5.944, 5.944, 5.944 Å; angles 138.49, 121.20, 74.52 degrees
Fractional coordinates of all 6 atoms:
U: 0.211 0.000 0.211
U: 0.789 0.000 0.789
Ni: 0.370 0.370 0.000
Ni: 0.630 0.630 0.000
Sn: 0.208 0.708 0.500
Sn: 0.792 0.292 0.500



[16]
A relaxed structure of UNi4Sn, computed with PBE.

Output
ΔH_f (0 K): -233 meV per atom
E: -0.488 Ry/atom

Cell lengths 4.987, 4.987, 4.987 Å; angles 60.00, 60.00, 60.00 degrees
Fractional coordinates of all 6 atoms:
U: 0.000 0.000 0.000
Ni: 0.126 0.625 0.625
Ni: 0.625 0.126 0.625
Ni: 0.625 0.625 0.126
Ni: 0.625 0.625 0.625
Sn: 0.250 0.250 0.250



[17]
A relaxed structure of UNi2Sn2, computed with PBE.

Output
ΔH_f (0 K): -128 meV per atom
E: -0.463 Ry/atom

Cell lengths 4.569, 4.599, 9.477 Å; angles 90.00, 90.00, 90.00 degrees
Fractional coordinates of all 10 atoms:
U: 0.250 0.250 0.170
U: 0.750 0.750 0.830
Ni: 0.250 0.750 0.017
Ni: 0.250 0.750 0.663
Ni: 0.750 0.250 0.337
Ni: 0.750 0.250 0.983
Sn: 0.250 0.250 0.508
Sn: 0.250 0.250 0.830
Sn: 0.750 0.750 0.170
Sn: 0.750 0.750 0.492



[18]
A relaxed structure of UNi3Sn2, computed with PBE.

Output
ΔH_f (0 K): 137 meV per atom
E: -0.439 Ry/atom

Cell lengths 8.076, 7.831, 5.747 Å; angles 71.12, 66.56, 42.32 degrees
Fractional coordinates of all 12 atoms:
U: 0.132 0.132 0.868
U: 0.868 0.868 0.132
Ni: 0.176 0.639 0.361
Ni: 0.314 0.314 0.686
Ni: 0.361 0.824 0.176
Ni: 0.639 0.176 0.824
Ni: 0.686 0.686 0.314
Ni: 0.824 0.361 0.639
Sn: 0.250 0.250 0.250
Sn: 0.316 0.684 0.684
Sn: 0.684 0.316 0.316
Sn: 0.750 0.750 0.750



[19]
A relaxed structure of UNiSn, computed with PBE.

Output
ΔH_f (0 K): -56 meV per atom
E: -0.520 Ry/atom

Cell lengths 4.643, 4.643, 3.231 Å; angles 90.00, 90.00, 120.00 degrees
Fractional coordinates of all 3 atoms:
U: 0.000 0.000 0.000
Ni: 0.667 0.333 0.500
Sn: 0.333 0.667 0.500



[20]
A relaxed structure of UNi2Sn, computed with PBE.

Output
ΔH_f (0 K): -165 meV per atom
E: -0.506 Ry/atom

Cell lengths 5.578, 4.115, 6.066 Å; angles 90.00, 106.49, 90.00 degrees
Fractional coordinates of all 8 atoms:
U: 0.141 0.250 0.089
U: 0.859 0.750 0.911
Ni: 0.130 0.750 0.430
Ni: 0.369 0.750 0.906
Ni: 0.631 0.250 0.094
Ni: 0.870 0.250 0.570
Sn: 0.380 0.250 0.647
Sn: 0.620 0.750 0.353